[1]
VASP calculation (GGA-PBE) on crystalline KCuCl3 at its relaxed geometry.

Cell lengths 6.858, 6.858, 11.924 Å; angles 90.00, 90.00, 118.98 degrees
Atoms (fractional coordinates):
K  0.183  0.817  0.750
K  0.489  0.489  0.500
K  0.511  0.511  0.000
K  0.817  0.183  0.250
Cu  0.139  0.829  0.382
Cu  0.171  0.861  0.118
Cu  0.829  0.139  0.618
Cu  0.861  0.171  0.882
Cl  0.004  0.004  0.000
Cl  0.016  0.549  0.014
Cl  0.184  0.323  0.784
Cl  0.305  0.695  0.250
Cl  0.323  0.184  0.216
Cl  0.451  0.984  0.486
Cl  0.549  0.016  0.986
Cl  0.677  0.816  0.716
Cl  0.695  0.305  0.750
Cl  0.816  0.677  0.284
Cl  0.984  0.451  0.514
Cl  0.996  0.996  0.500

Output
Raw total energy (eV/atom): -3.16
Space group: C222_1

=====

[2]
VASP calculation (GGA-PBE) on crystalline DyBi2 at its relaxed geometry.

Cell lengths 6.462, 6.462, 6.462 Å; angles 60.00, 60.00, 60.00 degrees
Atoms (fractional coordinates):
Dy  0.125  0.125  0.125
Dy  0.875  0.875  0.875
Bi  0.000  0.500  0.500
Bi  0.500  0.000  0.500
Bi  0.500  0.500  0.000
Bi  0.500  0.500  0.500

Output
Raw total energy (eV/atom): -4.27
Space group: Fd-3m

=====

[3]
VASP calculation (GGA-PBE) on crystalline CuAg3 at its relaxed geometry.

Cell lengths 5.000, 5.000, 7.815 Å; angles 112.90, 112.90, 48.39 degrees
Atoms (fractional coordinates):
Cu  0.118  0.118  0.440
Cu  0.882  0.882  0.560
Ag  0.124  0.124  0.931
Ag  0.366  0.366  0.326
Ag  0.377  0.377  0.794
Ag  0.623  0.623  0.206
Ag  0.634  0.634  0.674
Ag  0.876  0.876  0.069

Output
Raw total energy (eV/atom): -2.99
Space group: C2/m
Calculated formation energy (eV per atom): 0.06

=====

[4]
VASP calculation (GGA-PBE) on crystalline ZnIn2TeSe3 at its relaxed geometry.

Cell lengths 5.913, 5.933, 7.202 Å; angles 113.07, 112.83, 91.15 degrees
Atoms (fractional coordinates):
Zn  0.000  0.000  0.000
In  0.258  0.773  0.513
In  0.488  0.515  0.002
Te  0.861  0.353  0.281
Se  0.092  0.141  0.746
Se  0.384  0.920  0.257
Se  0.645  0.626  0.745

Output
Raw total energy (eV/atom): -3.44
Space group: P1

=====

[5]
VASP calculation (GGA-PBE) on crystalline Dy2HfAl3Cu2Ni at its relaxed geometry.

Cell lengths 3.896, 6.926, 6.926 Å; angles 120.60, 90.00, 90.00 degrees
Atoms (fractional coordinates):
Dy  0.000  0.206  0.794
Dy  0.000  0.794  0.206
Hf  0.000  0.387  0.387
Al  0.500  0.036  0.036
Al  0.500  0.555  0.784
Al  0.500  0.784  0.555
Cu  0.500  0.137  0.456
Cu  0.500  0.456  0.137
Ni  0.000  0.782  0.782

Output
Raw total energy (eV/atom): -5.30
Space group: Amm2

=====

[6]
VASP calculation (GGA-PBE) on crystalline NaHgAsO at its relaxed geometry.

Cell lengths 4.389, 4.389, 8.735 Å; angles 90.00, 90.00, 90.00 degrees
Atoms (fractional coordinates):
Na  0.250  0.750  0.000
Na  0.750  0.250  0.000
Hg  0.250  0.250  0.241
Hg  0.750  0.750  0.759
As  0.250  0.250  0.552
As  0.750  0.750  0.448
O  0.250  0.750  0.500
O  0.750  0.250  0.500

Output
Raw total energy (eV/atom): -2.98
Space group: P4/nmm

=====

[7]
VASP calculation (GGA-PBE) on crystalline Cd2SiO4 at its relaxed geometry.

Cell lengths 5.445, 9.628, 2.921 Å; angles 90.00, 90.00, 90.00 degrees
Atoms (fractional coordinates):
Cd  0.056  0.172  0.000
Cd  0.444  0.672  0.000
Cd  0.556  0.328  0.000
Cd  0.944  0.828  0.000
Si  0.000  0.500  0.500
Si  0.500  0.000  0.500
O  0.116  0.671  0.500
O  0.209  0.458  0.000
O  0.291  0.958  0.000
O  0.384  0.171  0.500
O  0.616  0.829  0.500
O  0.709  0.042  0.000
O  0.791  0.542  0.000
O  0.884  0.329  0.500

Output
Raw total energy (eV/atom): -5.49
Space group: Pbam

=====

[8]
VASP calculation (GGA-PBE) on crystalline LiAsPd2 at its relaxed geometry.

Cell lengths 6.819, 7.299, 5.220 Å; angles 90.00, 90.00, 90.00 degrees
Atoms (fractional coordinates):
Li  0.015  0.250  0.071
Li  0.485  0.750  0.571
Li  0.515  0.250  0.429
Li  0.985  0.750  0.929
As  0.133  0.250  0.553
As  0.367  0.750  0.053
As  0.633  0.250  0.947
As  0.867  0.750  0.447
Pd  0.163  0.556  0.346
Pd  0.163  0.944  0.346
Pd  0.337  0.056  0.846
Pd  0.337  0.444  0.846
Pd  0.663  0.556  0.154
Pd  0.663  0.944  0.154
Pd  0.837  0.056  0.654
Pd  0.837  0.444  0.654

Output
Raw total energy (eV/atom): -4.77
Space group: Pnma

=====

[9]
VASP calculation (GGA-PBE) on crystalline GdPtW at its relaxed geometry.

Cell lengths 4.584, 4.584, 4.584 Å; angles 60.00, 60.00, 60.00 degrees
Atoms (fractional coordinates):
Gd  0.000  0.000  0.000
Pt  0.250  0.250  0.250
W  0.500  0.500  0.500

Output
Raw total energy (eV/atom): -7.55
Space group: F-43m
Calculated formation energy (eV per atom): 0.34

=====

[10]
VASP calculation (GGA-PBE) on crystalline PrGe2Pt5 at its relaxed geometry.

Cell lengths 6.456, 6.456, 6.456 Å; angles 143.76, 111.85, 79.70 degrees
Atoms (fractional coordinates):
Pr  0.000  0.000  0.000
Ge  0.249  0.749  0.500
Ge  0.751  0.251  0.500
Pt  0.158  0.356  0.803
Pt  0.447  0.644  0.803
Pt  0.500  0.000  0.500
Pt  0.553  0.356  0.197
Pt  0.842  0.644  0.197

Output
Raw total energy (eV/atom): -6.24
Space group: Immm